# 1
6
Lattice="4.1183 0.0000 0.0000 -2.0591 3.5665 0.0000 0.0000 0.0000 11.2483" Properties=species:S:1:pos:R:3 comment="YHoGa2Br2 | OQMD via LeMat-Bulk | PBE | relaxed" e_tot_ev_per_cell=-27.7 pbc="T T T"
Y 0.0000 0.0000 0.0000
Ho 0.0000 0.0000 4.0927
Ga 0.0000 2.3777 2.4084
Ga 2.0591 1.1888 1.7148
Br 0.0000 2.3777 9.4822
Br 2.0591 1.1888 5.8428

***

# 2
6
Lattice="4.2699 0.0000 0.0000 -2.1349 3.6978 0.0000 0.0000 0.0000 11.7779" Properties=species:S:1:pos:R:3 comment="Nd2Ga2IBr | OQMD via LeMat-Bulk | PBE | relaxed" e_tot_ev_per_cell=-25.8 pbc="T T T"
Nd 0.0000 0.0000 0.0000
Nd 0.0000 0.0000 4.2262
Ga 0.0000 2.4652 2.4037
Ga 2.1349 1.2326 1.7822
I 0.0000 2.4652 9.7188
Br 2.1349 1.2326 6.0317

***

# 3
11
Lattice="6.7670 -4.3744 0.0000 6.7670 4.3744 0.0000 -0.6723 0.0000 7.6925" Properties=species:S:1:pos:R:3 comment="Ga2PdI4Br4 | OQMD via LeMat-Bulk | PBE | relaxed" e_tot_ev_per_cell=-30.5 polymorph_energy_kj_per_mol_fu=0.0 pbc="T T T"
Ga 2.6897 0.0000 2.6100
Ga 10.1720 0.0000 5.0825
Pd 0.0000 0.0000 0.0000
I 4.6331 2.5122 6.5203
I 8.2286 2.5122 1.1722
I 4.6331 -2.5122 6.5203
I 8.2286 -2.5122 1.1722
Br 1.9650 0.0000 4.8199
Br 4.9875 0.0000 2.3403
Br 7.8742 0.0000 5.3523
Br 10.8967 0.0000 2.8727

***

# 4
11
Lattice="6.7984 -4.4523 0.0000 6.7984 4.4523 0.0000 -1.0883 0.0000 7.6477" Properties=species:S:1:pos:R:3 comment="Ga2PdI4Br4 | OQMD via LeMat-Bulk | PBE | relaxed" e_tot_ev_per_cell=-29.8 polymorph_energy_kj_per_mol_fu=61.1 pbc="T T T"
Ga 2.4890 0.0000 2.5059
Ga 10.0195 0.0000 5.1418
Pd 0.0000 0.0000 0.0000
I 1.6127 0.0000 4.8678
I 4.9709 0.0000 2.1695
I 7.5375 0.0000 5.4782
I 10.8957 0.0000 2.7799
Br 4.3441 2.7215 6.5240
Br 8.1643 2.7215 1.1236
Br 4.3441 -2.7215 6.5240
Br 8.1643 -2.7215 1.1236

***

Copy entry 4 word for word.
11
Lattice="6.7984 -4.4523 0.0000 6.7984 4.4523 0.0000 -1.0883 0.0000 7.6477" Properties=species:S:1:pos:R:3 comment="Ga2PdI4Br4 | OQMD via LeMat-Bulk | PBE | relaxed" e_tot_ev_per_cell=-29.8 polymorph_energy_kj_per_mol_fu=61.1 pbc="T T T"
Ga 2.4890 0.0000 2.5059
Ga 10.0195 0.0000 5.1418
Pd 0.0000 0.0000 0.0000
I 1.6127 0.0000 4.8678
I 4.9709 0.0000 2.1695
I 7.5375 0.0000 5.4782
I 10.8957 0.0000 2.7799
Br 4.3441 2.7215 6.5240
Br 8.1643 2.7215 1.1236
Br 4.3441 -2.7215 6.5240
Br 8.1643 -2.7215 1.1236